# 1
## HoGa2Ir (PBE-GGA)

Data for a relaxed HoGa2Ir crystal.

Cell: 6.5067 6.5067 6.5067 Å, 90.00 90.00 90.00°
Last column: nearest neighbours and their distance in Å.
Space group Fm-3m (No. 225)
Unique sites:
Ho: 0.0000 0.0000 0.0000 x4  8 Ga 2.82
Ga: 0.2500 0.2500 0.2500 x8  4 Ho 2.82, 4 Ir 2.82
Ir: 0.0000 0.0000 0.5000 x4  8 Ga 2.82

Values from the calculation:
calculated formation energy	-55.2	kJ/mol of atoms
magnetic moment	0.000	μB per atom
mass density	11.974	Mg/m³
D(E_F)	0.210	states/eV per atom
DFT total energy	-5.445	eV per atom

---

# 2
## CoAgPb2 (PBE-GGA)

Data for a relaxed CoAgPb2 crystal.

Cell: 3.3303 3.3303 7.7558 Å, 90.00 90.00 90.00°
Last column: nearest neighbours and their distance in Å.
Space group P4/mmm (No. 123)
Unique sites:
Co: 0.0000 0.0000 0.0000 x1  8 Pb 2.89
Ag: 0.0000 0.0000 0.5000 x1  8 Pb 3.23, 4 Ag 3.33
Pb: 0.5000 0.5000 0.2154 x2  4 Co 2.89, 4 Ag 3.23

Values from the calculation:
calculated formation energy	34.6	kJ/mol of atoms
magnetic moment	0.262	μB per atom
mass density	11.219	Mg/m³
relative energy among the computed polymorphs	34	meV per atom
D(E_F)	0.670	states/eV per atom
DFT total energy	-3.985	eV per atom

---

# 3
## MgGa2 (PBE-GGA)

Data for a relaxed MgGa2 crystal.

Cell: 3.0481 3.0481 14.5823 Å, 90.00 90.00 120.00°
Last column: nearest neighbours and their distance in Å.
Space group P6_3/mmc (No. 194)
Unique sites:
Mg: 0.3333 0.6667 0.2500 x2  6 Ga 3.02, 6 Mg 3.05
Ga: 0.3333 0.6667 0.5816 x4  9 Ga 2.96-3.05, 3 Mg 3.02

Values from the calculation:
calculated formation energy	-3.0	kJ/mol of atoms
magnetic moment	0.000	μB per atom
mass density	4.635	Mg/m³
D(E_F)	0.405	states/eV per atom
DFT total energy	-2.580	eV per atom

---

Question: calculated formation energy of number 1 (HoGa2Ir)?
Answer: -55.2 kJ/mol of atoms

---

What did the second record say?
## CoAgPb2 (PBE-GGA)

Data for a relaxed CoAgPb2 crystal.

Cell: 3.3303 3.3303 7.7558 Å, 90.00 90.00 90.00°
Last column: nearest neighbours and their distance in Å.
Space group P4/mmm (No. 123)
Unique sites:
Co: 0.0000 0.0000 0.0000 x1  8 Pb 2.89
Ag: 0.0000 0.0000 0.5000 x1  8 Pb 3.23, 4 Ag 3.33
Pb: 0.5000 0.5000 0.2154 x2  4 Co 2.89, 4 Ag 3.23

Values from the calculation:
calculated formation energy	34.6	kJ/mol of atoms
magnetic moment	0.262	μB per atom
mass density	11.219	Mg/m³
relative energy among the computed polymorphs	34	meV per atom
D(E_F)	0.670	states/eV per atom
DFT total energy	-3.985	eV per atom